This record from OQMD describes an optimized crystal structure of Ag2TeF6. The functional is GGA-PBE.

Structure (POSCAR):
```
Ag2TeF6
1.0
5.2064 0.0000 0.0000
0.0000 5.2064 0.0000
0.0000 0.0000 10.7590
Ag Te F
4 2 12
direct
0.0000 0.0000 0.1670
0.0000 0.0000 0.8330
0.5000 0.5000 0.3330
0.5000 0.5000 0.6670
0.0000 0.0000 0.5000
0.5000 0.5000 0.0000
0.1864 0.1864 0.3544
0.1864 0.1864 0.6456
0.2193 0.2193 0.0000
0.2807 0.7193 0.5000
0.3136 0.6864 0.1456
0.3136 0.6864 0.8544
0.6864 0.3136 0.1456
0.6864 0.3136 0.8544
0.7193 0.2807 0.5000
0.7807 0.7807 0.0000
0.8136 0.8136 0.3544
0.8136 0.8136 0.6456
```

Calculated values
Space-group type ... P4_2/mnm, No. 136
Total DFT energy (no corrections) ... -3.82 eV/atom